Entry 1:
BaEuN: optimized geometry, PBE.

Unit cell a=3.8276 b=3.8276 c=7.1538 alpha=90.00 beta=90.00 gamma=120.00
With the nearest neighbours (Å) after each atom.
Fractional positions:
Ba  0.0000  0.0000  0.0000  3 N 2.79
Eu  0.3333  0.6667  0.5950  3 N 2.51
N  0.6667  0.3333  0.7621  3 Eu 2.51, 3 Ba 2.79

Output
The space group is P3m1, No. 156. As for the energy relative to the elements, uncorrected: -536 meV/atom. Its total energy is -7.377 eV per atom. Its density of states at the Fermi level is 2.853 states/eV per atom. The calculated volume comes out at 90.8 Å³ per cell.

Entry 2:
LiScNi3: optimized geometry, PBE.

Unit cell a=4.0174 b=4.0174 c=4.0174 alpha=90.00 beta=90.00 gamma=90.00
With the nearest neighbours (Å) after each atom.
Fractional positions:
Li  0.0000  0.0000  0.0000  6 Ni 2.01
Sc  0.5000  0.5000  0.5000  12 Ni 2.84
Ni  0.0000  0.0000  0.5000  2 Li 2.01
Ni  0.0000  0.5000  0.0000  2 Li 2.01
Ni  0.5000  0.0000  0.0000  2 Li 2.01

Output
Its formation energy from the elements is 0.1341 eV/atom. The space group is Pm-3m, No. 221. Its total energy is -4.984 eV per atom. Its density of states at the Fermi level is 0.269 states/eV per atom. The calculated volume comes out at 64.8 Å³ per cell.

In eV per formula unit, the polymorph energy (0 for the lowest one) values for the records above are, in order, 0.00; 0.00.